The following is a PBE calculation of a relaxed structure of Y2HfS2N2, from Alexandria.

The formation energy without anion corrections comes out at -1.74 eV/atom. Its calculated density is 6.087 g/cm3.

The space group is I4/mmm (No. 139) and the conventional cell measures 4.168, 4.168 and 14.084 Å, with angles of 90.00, 90.00 and 90.00 degrees. The distinct sites, in fractional coordinates, are Y at (0.000, 0.000, 0.117), Hf at (0.000, 0.000, 0.500), S at (0.000, 0.000, 0.317) and N at (0.000, 0.500, 0.000).

***

The following is a PBE calculation of a relaxed structure of SrTaAu2, from Alexandria.

Its calculated density is 12.557 g/cm3. As for the excess energy over the best structure of this formula in the dataset: 42.4 kJ per mole of atoms.

The space group is I-4m2 (No. 119) and the conventional cell measures 4.162, 4.162 and 10.116 Å, with angles of 90.00, 90.00 and 90.00 degrees. The distinct sites, in fractional coordinates, are Sr at (0.000, 0.000, 0.000), Ta at (0.000, 0.500, 0.750), Au at (0.000, 0.000, 0.500) and Au at (0.000, 0.500, 0.250).

***

The following is a PBE calculation of a relaxed structure of MnP2S6, from Alexandria.

The formation energy without anion corrections comes out at -0.29 eV/atom. Its calculated density is 2.372 g/cm3.

The space group is R3 (No. 146, hexagonal axes) and the conventional cell measures 5.9092, 5.9092 and 21.4829 Å, with angles of 90.00, 90.00 and 120.00 degrees. The distinct sites, in fractional coordinates, are Mn at (0.0000, 0.0000, 0.0000), P at (0.0000, 0.0000, 0.6165), P at (0.0000, 0.0000, 0.7170), S at (0.0405, 0.3541, 0.5932) and S at (0.0406, 0.6863, 0.7401).

***

The following is a PBE calculation of a relaxed structure of CaHo2InRh4, from Alexandria.

Its calculated density is 9.805 g/cm3. The raw total energy comes out at -6.104 eV per atom.

The space group is R-3m (No. 166, hexagonal axes) and the conventional cell measures 4.7489, 4.7489 and 23.3181 Å, with angles of 90.00, 90.00 and 120.00 degrees. The distinct sites, in fractional coordinates, are Ca at (0.0000, 0.0000, 0.0000), Ho at (0.0000, 0.0000, 0.2473), In at (0.0000, 0.0000, 0.5000), Rh at (0.0000, 0.0000, 0.1272) and Rh at (0.0000, 0.0000, 0.3784).

***

The following is a PBE calculation of a relaxed structure of MgTl12Pb2, from Alexandria.

Its calculated density is 9.701 g/cm3. The raw total energy comes out at -2.382 eV per atom.

The space group is P4/nbm (No. 125, origin choice 2) and the conventional cell measures 6.722, 6.722 and 21.907 Å, with angles of 90.00, 90.00 and 90.00 degrees. The distinct sites, in fractional coordinates, are Mg at (0.250, 0.750, 0.000), Tl at (0.000, 0.000, 0.089), Tl at (0.080, 0.580, 0.434), Tl at (0.250, 0.250, 0.194), Tl at (0.250, 0.250, 0.333) and Pb at (0.250, 0.750, 0.215).

***

The following is a PBE calculation of a relaxed structure of K8P2Se, from Alexandria.

The formation energy without anion corrections comes out at -0.43 eV/atom. Its calculated density is 2.022 g/cm3.

The space group is Immm (No. 71) and the conventional cell measures 5.525, 8.001 and 16.859 Å, with angles of 90.00, 90.00 and 90.00 degrees. The distinct sites, in fractional coordinates, are K at (0.000, 0.000, 0.184), K at (0.000, 0.233, 0.348), K at (0.000, 0.282, 0.000), P at (0.000, 0.500, 0.180) and Se at (0.000, 0.500, 0.500).